Density functional theory data (GGA-PBE) for crystalline BePC3 at its relaxed geometry.

volume: 9.3 Å³/atom
E_tot: -4.76 eV per atom
ΔH_f (0 K): 2605.7 meV/atom
crystal system: cubic
offset from the most stable computed form: 0.440 eV/atom
symmetry: No. 221

The structure in CIF format:
```
data_BePC3
_chemical_formula_sum 'Be1 P1 C3'
_space_group_name_H-M_alt 'P 1'
_space_group_IT_number 1
_cell_length_a 3.598
_cell_length_b 3.598
_cell_length_c 3.598
_cell_angle_alpha 90.00
_cell_angle_beta 90.00
_cell_angle_gamma 90.00
loop_
_space_group_symop_operation_xyz
'x,y,z'
loop_
_atom_site_label
_atom_site_type_symbol
_atom_site_fract_x
_atom_site_fract_y
_atom_site_fract_z
Be1 Be 0.000 0.000 0.000
P1 P 0.500 0.500 0.500
C1 C 0.000 0.000 0.500
C2 C 0.000 0.500 0.000
C3 C 0.500 0.000 0.000
```